# Pm4Pr2TmSc

An optimized crystal structure of Pm4Pr2TmSc (PBE-GGA, Alexandria).

For the density of states at the Fermi level, the calculation gives 12.34 states/eV/cell. Its magnetic moment is 0.0 Bohr magnetons per cell. The calculated volume is 263.40 Å³ per cell. For the density, the calculation gives 6.8 g/cm3. The calculation puts the calculated total energy at -4.888 eV per atom.

It has space group P2/m (No. 10), with a = 5.0845 Å, b = 5.1097 Å, c = 10.1386 Å, α = 90.00°, β = 90.07° and γ = 90.00°. The inequivalent atoms are Pm at (0.9996, 0.0000, 0.2459), Pm at (0.4999, 0.5000, 0.2468), Pr at (0.0000, 0.5000, 0.0000), Pr at (0.5000, 0.0000, 0.5000), Tm at (0.0000, 0.5000, 0.5000) and Sc at (0.5000, 0.0000, 0.0000).

***

# NaSr2LiTe

An optimized crystal structure of NaSr2LiTe (PBE-GGA, Alexandria).

For the density of states at the Fermi level, the calculation gives 3.89 states/eV/cell. The value obtained for the offset from the most stable computed form is 0.1404 eV per atom. Its magnetic moment is 0.0 Bohr magnetons per cell. The calculated volume is 192.43 Å³ per cell. For the density, the calculation gives 2.9 g/cm3. The calculation puts the uncorrected formation energy at -0.034 eV/atom.

It has space group P4/mmm (No. 123), with a = 6.3340 Å, b = 6.3340 Å, c = 4.7965 Å, α = 90.00°, β = 90.00° and γ = 90.00°. The inequivalent atoms are Na at (0.0000, 0.0000, 0.0000), Sr at (0.0000, 0.5000, 0.0000), Li at (0.0000, 0.0000, 0.5000) and Te at (0.5000, 0.5000, 0.5000).

***

# TaAgSb4

An optimized crystal structure of TaAgSb4 (PBE-GGA, Alexandria).

For the density of states at the Fermi level, the calculation gives 16.17 states/eV/cell. Its magnetic moment is 0.0 Bohr magnetons per cell. The calculated volume is 619.68 Å³ per cell. For the density, the calculation gives 8.3 g/cm3. The calculation puts the uncorrected formation energy at 0.916 eV/atom.

It has space group F-43m (No. 216), with a = 8.5256 Å, b = 8.5256 Å, c = 8.5256 Å, α = 90.00°, β = 90.00° and γ = 90.00°. The inequivalent atoms are Ta at (0.0000, 0.0000, 0.0000), Ag at (0.2500, 0.2500, 0.7500) and Sb at (0.1255, 0.1255, 0.3745).

***

# TaPb2Au

An optimized crystal structure of TaPb2Au (PBE-GGA, Alexandria).

For the density of states at the Fermi level, the calculation gives 3.59 states/eV/cell. The value obtained for the offset from the most stable computed form is 0.1314 eV per atom. Its magnetic moment is 0.0 Bohr magnetons per cell. The calculated volume is 187.01 Å³ per cell. For the density, the calculation gives 14.1 g/cm3.

It has space group Amm2 (No. 38), with a = 4.4599 Å, b = 3.7959 Å, c = 11.0467 Å, α = 90.00°, β = 90.00° and γ = 90.00°. The inequivalent atoms are Ta at (0.0000, 0.0000, 0.0000), Pb at (0.0000, 0.0000, 0.7255), Pb at (0.5000, 0.0000, 0.4262) and Au at (0.5000, 0.0000, 0.1481).